Material: ZnSbW2
Method: DFT, SCAN
State: PBEsol geometry

The space group is Imm2 (No. 44) and the conventional cell measures 3.5347, 4.3909 and 8.4838 Å, with angles of 90.00, 90.00 and 90.00 degrees. The inequivalent atoms are Zn at (0.0000, 0.0000, 0.0000), Sb at (0.0000, 0.5000, 0.7576), W at (0.0000, 0.0000, 0.5151) and W at (0.0000, 0.5000, 0.2491).

For the total energy, the calculation gives -46.9510 eV/atom. The density of states at the Fermi level comes out at 4.7 states/eV/cell. The value obtained for the magnetization is 0.00 Bohr magnetons per cell. The crystal system is orthorhombic. Its raw formation energy is 2.3 eV/f.u.